Record 1
Material: Pb3Se2O
Method: DFT, PBE
State: optimized geometry

Cell: 7.6290 7.5295 7.5295 Å, 125.09 99.30 99.30°
Sites, in units of the cell vectors:
Pb: 0.0000 0.5000 0.0000
Pb: 0.4267 0.3799 0.2097
Pb: 0.5733 0.6201 0.7903
Pb: 0.5000 0.0000 0.5000
Pb: 0.9267 0.2097 0.3799
Pb: 0.0733 0.7903 0.6201
Se: 0.2500 0.2402 0.7598
Se: 0.2500 0.9238 0.0762
Se: 0.7500 0.0762 0.9238
Se: 0.7500 0.7598 0.2402
O: 0.7500 0.3687 0.6313
O: 0.2500 0.6313 0.3687

Summary:
Symmetry: C2/c, No. 15
Energy above the lowest structure with this stoichiometry in meV/atom: 97.6


Record 2
Material: Pb4Se3O
Method: DFT, PBE
State: optimized geometry

Cell: 6.3120 6.1761 11.8831 Å, 90.00 90.00 90.00°
Sites, in units of the cell vectors:
Pb: 0.6580 0.2392 0.0000
Pb: 0.0747 0.2437 0.7698
Pb: 0.0717 0.8022 0.0000
Pb: 0.0747 0.2437 0.2302
Pb: 0.5747 0.7563 0.7302
Pb: 0.5747 0.7563 0.2698
Pb: 0.1580 0.7608 0.5000
Pb: 0.5717 0.1978 0.5000
Se: 0.0372 0.7447 0.2533
Se: 0.0442 0.2235 0.5000
Se: 0.5372 0.2553 0.2467
Se: 0.0372 0.7447 0.7467
Se: 0.5372 0.2553 0.7533
Se: 0.5442 0.7765 0.0000
O: 0.0175 0.1678 0.0000
O: 0.5175 0.8322 0.5000

Summary:
E_tot in eV per atom: -4.40
Symmetry: Pmn2_1, No. 31